(1)
Al2MoOs | PBE-GGA | optimized geometry Values from VASP.

Cell and atoms, written as Quantum ESPRESSO input:
```
&SYSTEM
  ibrav = 0, nat = 4, ntyp = 3
/
ATOMIC_SPECIES
Os 190.23 Os.upf
Al 26.98 Al.upf
Mo 95.94 Mo.upf
ATOMIC_POSITIONS crystal
Os 0.5000 0.0000 0.5000
Al 0.0000 0.5000 0.5000
Al 0.0000 0.0000 0.0000
Mo 0.5000 0.5000 0.0000
CELL_PARAMETERS angstrom
-0.6913 -3.5472 1.1767
3.8198 -0.4576 0.8648
-0.6654 1.3400 3.6482
```

Calculated values
- DOS at the Fermi energy: 0.983 states/eV/atom
- Distance to the lowest polymorph of the same formula: 22.5 kJ/mol of atoms
- Space-group type: No. 123

(2)
MnMoS3 | PBE-GGA | optimized geometry Values from VASP.

Cell and atoms, written as Quantum ESPRESSO input:
```
&SYSTEM
  ibrav = 0, nat = 5, ntyp = 3
/
ATOMIC_SPECIES
S 32.06 S.upf
Mn 54.94 Mn.upf
Mo 95.94 Mo.upf
ATOMIC_POSITIONS crystal
S 0.0000 0.0000 0.5000
S 0.0000 0.5000 0.0000
S 0.5000 0.0000 0.0000
Mn 0.5000 0.5000 0.5000
Mo 0.0000 0.0000 0.0000
CELL_PARAMETERS angstrom
4.6562 0.0000 0.0000
0.0000 4.6562 0.0000
0.0000 0.0000 4.6562
```

Calculated values
- DOS at the Fermi energy: 2.736 states/eV/atom
- Distance to the lowest polymorph of the same formula: 26.6 kJ/mol of atoms
- Formation energy without anion corrections: 4.1 eV per formula unit
- Space-group type: No. 221

(3)
Mg2Sc3Cu3 | PBE-GGA | optimized geometry Values from VASP.

Cell and atoms, written as Quantum ESPRESSO input:
```
&SYSTEM
  ibrav = 0, nat = 8, ntyp = 3
/
ATOMIC_SPECIES
Cu 63.55 Cu.upf
Sc 44.96 Sc.upf
Mg 24.30 Mg.upf
ATOMIC_POSITIONS crystal
Cu 0.1157 0.1157 0.2313
Cu 0.8843 0.8843 0.7687
Cu 0.0000 0.5000 0.0000
Sc 0.5000 0.0000 0.0000
Sc 0.3822 0.3822 0.7645
Sc 0.6178 0.6178 0.2355
Mg 0.7291 0.2291 0.4582
Mg 0.2709 0.7709 0.5418
CELL_PARAMETERS angstrom
3.1817 0.0000 -0.5124
-0.1790 4.6222 -1.1115
-0.0090 -0.0250 10.0783
```

Calculated values
- DOS at the Fermi energy: 0.709 states/eV/atom
- E: -35.9 eV per cell
- Space-group type: No. 71

(4)
Mg2Sn2Hg | PBE-GGA | optimized geometry Values from VASP.

Cell and atoms, written as Quantum ESPRESSO input:
```
&SYSTEM
  ibrav = 0, nat = 5, ntyp = 3
/
ATOMIC_SPECIES
Sn 118.71 Sn.upf
Mg 24.30 Mg.upf
Hg 200.59 Hg.upf
ATOMIC_POSITIONS crystal
Sn 0.2500 0.7500 0.5000
Sn 0.7500 0.2500 0.5000
Mg 0.4012 0.4012 0.1976
Mg 0.5988 0.5988 0.8024
Hg 0.0000 0.0000 0.0000
CELL_PARAMETERS angstrom
4.2683 0.0000 0.0000
0.0000 4.2683 0.0000
2.1342 2.1342 7.3519
```

Calculated values
- DOS at the Fermi energy: 0.389 states/eV/atom
- Distance to the lowest polymorph of the same formula: 12.6 kJ/mol of atoms
- Space-group type: No. 139

(5)
LaCu2Br | PBE-GGA | optimized geometry Values from VASP.

Cell and atoms, written as Quantum ESPRESSO input:
```
&SYSTEM
  ibrav = 0, nat = 4, ntyp = 3
/
ATOMIC_SPECIES
Cu 63.55 Cu.upf
Br 79.90 Br.upf
La 138.91 La.upf
ATOMIC_POSITIONS crystal
Cu 0.0000 0.0000 0.0000
Cu 0.5000 0.5000 0.0000
Br 0.7500 0.2500 0.5000
La 0.2500 0.7500 0.5000
CELL_PARAMETERS angstrom
5.8934 0.0085 0.0000
2.9223 5.1179 0.0000
-4.4079 -2.5632 2.9552
```

Calculated values
- DOS at the Fermi energy: 0.366 states/eV/atom
- Distance to the lowest polymorph of the same formula: 25.0 kJ/mol of atoms
- Formation energy without anion corrections: -0.9 eV per formula unit
- Space-group type: No. 139

(6)
NaGaPb | PBE-GGA | optimized geometry Values from VASP.

Cell and atoms, written as Quantum ESPRESSO input:
```
&SYSTEM
  ibrav = 0, nat = 6, ntyp = 3
/
ATOMIC_SPECIES
Na 22.99 Na.upf
Ga 69.72 Ga.upf
Pb 207.20 Pb.upf
ATOMIC_POSITIONS crystal
Na 0.5000 0.7516 0.2892
Na 0.5000 0.2484 0.7108
Ga 0.0000 0.5000 0.0000
Ga 0.0000 0.0000 0.0000
Pb 0.0000 0.2517 0.3441
Pb 0.0000 0.7483 0.6559
CELL_PARAMETERS angstrom
3.3678 0.0159 0.0042
-0.0265 5.6431 -0.0020
-0.0100 -0.0315 8.0302
```

Calculated values
- DOS at the Fermi energy: 0.517 states/eV/atom
- E: -16.3 eV per cell
- Space-group type: No. 10